No. 1
DFT (PBE) results for a relaxed structure of TeMoS.

Cell lengths 3.3667, 3.3667, 14.1782 Å; angles 90.00, 90.00, 120.00 degrees
Fractional coordinates of all 6 atoms:
Mo: 0.3333 0.6667 0.7357
S: 0.6667 0.3333 0.6316
Mo: 0.6667 0.3333 0.2643
Te: 0.6667 0.3333 0.8702
S: 0.3333 0.6667 0.3684
Te: 0.3333 0.6667 0.1298

Results
**Total energy**: -6.5427 eV per atom
**Spin magnetization**: 0.004 μB/f.u.

No. 2
DFT (PBE) results for a relaxed structure of DyTmSn2Ir4.

Cell lengths 4.4952, 4.4952, 8.9960 Å; angles 90.00, 90.00, 120.00 degrees
Fractional coordinates of all 8 atoms:
Ir: 0.6667 0.3333 0.1522
Ir: 0.0000 0.0000 0.3508
Ir: 0.0000 0.0000 0.6492
Sn: 0.3333 0.6667 0.7488
Tm: 0.6667 0.3333 0.5000
Dy: 0.0000 0.0000 0.0000
Sn: 0.3333 0.6667 0.2512
Ir: 0.6667 0.3333 0.8478

Results
**Total energy**: -7.1387 eV per atom
**Spin magnetization**: 0.002 μB/f.u.

No. 3
DFT (PBE) results for a relaxed structure of SmDyI2N.

Cell lengths 3.8131, 3.8131, 10.9459 Å; angles 90.00, 90.00, 120.00 degrees
Fractional coordinates of all 5 atoms:
Sm: 0.6667 0.3333 0.3816
I: 0.6667 0.3333 0.8140
N: 0.3333 0.6667 0.5080
Dy: 0.0000 0.0000 0.6174
I: 0.0000 0.0000 0.1789

Results
**Total energy**: -5.5178 eV per atom
**Spin magnetization**: 0.011 μB/f.u.

No. 4
DFT (PBE) results for a relaxed structure of Ho2FeTe6.

Cell lengths 8.3602, 8.3602, 3.9340 Å; angles 90.00, 90.00, 120.00 degrees
Fractional coordinates of all 9 atoms:
Te: 0.7715 0.7715 0.5000
Fe: 0.0000 0.0000 0.0000
Te: 0.0000 0.2285 0.5000
Te: 0.2285 0.0000 0.5000
Te: 0.5537 0.0000 0.0000
Te: 0.0000 0.5537 0.0000
Ho: 0.3333 0.6667 0.5000
Ho: 0.6667 0.3333 0.5000
Te: 0.4463 0.4463 0.0000

Results
**Total energy**: -4.6937 eV per atom
**Spin magnetization**: 2.564 μB/f.u.

No. 5
DFT (PBE) results for a relaxed structure of AlFeAgAu.

Cell lengths 4.4671, 4.4671, 4.4671 Å; angles 60.00, 60.00, 60.00 degrees
Fractional coordinates of all 4 atoms:
Ag: 0.5000 0.5000 0.5000
Au: 0.2500 0.2500 0.2500
Fe: 0.7500 0.7500 0.7500
Al: 0.0000 0.0000 0.0000

Results
**Total energy**: -4.4877 eV per atom
**Relative energy among the computed polymorphs**: 0 meV per atom
**Spin magnetization**: 2.557 μB/f.u.

No. 6
DFT (PBE) results for a relaxed structure of LuFeTe2.

Cell lengths 5.0974, 5.0974, 5.0974 Å; angles 60.00, 60.00, 60.00 degrees
Fractional coordinates of all 4 atoms:
Te: 0.7500 0.7500 0.7500
Fe: 0.2500 0.2500 0.2500
Te: 0.0000 0.0000 0.0000
Lu: 0.5000 0.5000 0.5000

Results
**Total energy**: -4.6479 eV per atom
**Spin magnetization**: 2.854 μB/f.u.

No. 7
DFT (PBE) results for a relaxed structure of NdHoTl.

Cell lengths 5.2325, 5.2325, 5.2325 Å; angles 60.00, 60.00, 60.00 degrees
Fractional coordinates of all 3 atoms:
Tl: 0.0000 0.0000 0.0000
Ho: 0.2500 0.2500 0.2500
Nd: 0.7500 0.7500 0.7500

Results
**Total energy**: -3.9364 eV per atom
**Spin magnetization**: 0.481 μB/f.u.

No. 8
DFT (PBE) results for a relaxed structure of PrDySi2W2C.

Cell lengths 5.9142, 5.9142, 7.2412 Å; angles 123.24, 123.24, 38.55 degrees
Fractional coordinates of all 7 atoms:
Pr: 0.5770 0.5770 0.3021
Si: 0.1333 0.1333 0.6686
Si: 0.8672 0.8672 0.3355
W: 0.2066 0.2066 0.0806
C: 0.9975 0.9975 0.9914
Dy: 0.4262 0.4262 0.7045
W: 0.7921 0.7921 0.9174

Results
**Total energy**: -8.4062 eV per atom
**Spin magnetization**: 0.005 μB/f.u.

No. 9
DFT (PBE) results for a relaxed structure of CuReSnPd.

Cell lengths 4.4929, 4.4929, 4.4929 Å; angles 60.00, 60.00, 60.00 degrees
Fractional coordinates of all 4 atoms:
Re: 0.2500 0.2500 0.2500
Pd: 0.5000 0.5000 0.5000
Sn: 0.0000 0.0000 0.0000
Cu: 0.7500 0.7500 0.7500

Results
**Total energy**: -5.9792 eV per atom
**Relative energy among the computed polymorphs**: 0 meV per atom
**Spin magnetization**: 1.104 μB/f.u.

No. 10
DFT (PBE) results for a relaxed structure of YCdAg2.

Cell lengths 5.9086, 7.6959, 7.9140 Å; angles 90.00, 90.00, 90.00 degrees
Fractional coordinates of all 16 atoms:
Cd: 0.3528 0.2500 0.1029
Cd: 0.8528 0.7500 0.3971
Ag: 0.5773 0.9482 0.1955
Ag: 0.4227 0.4482 0.8045
Cd: 0.6472 0.7500 0.8971
Ag: 0.4227 0.0518 0.8045
Ag: 0.0773 0.4482 0.3045
Y: 0.6516 0.2500 0.4585
Y: 0.3484 0.7500 0.5415
Y: 0.8484 0.2500 0.9585
Y: 0.1516 0.7500 0.0415
Cd: 0.1472 0.2500 0.6029
Ag: 0.5773 0.5518 0.1955
Ag: 0.9227 0.5518 0.6955
Ag: 0.0773 0.0518 0.3045
Ag: 0.9227 0.9482 0.6955

Results
**Total energy**: -3.4516 eV per atom
**Calculated formation energy**: -0.20 eV/atom
**Spin magnetization**: 0.001 μB/f.u.

No. 11
DFT (PBE) results for a relaxed structure of TmNbSb2.

Cell lengths 4.1605, 4.1605, 5.8510 Å; angles 90.00, 90.00, 90.00 degrees
Fractional coordinates of all 4 atoms:
Sb: 0.5000 0.5000 0.0000
Nb: 0.0000 0.0000 0.0000
Sb: 0.0000 0.0000 0.5000
Tm: 0.5000 0.5000 0.5000

Results
**Total energy**: -6.0010 eV per atom
**Spin magnetization**: 0.015 μB/f.u.

No. 12
DFT (PBE) results for a relaxed structure of TaZnNO.

Cell lengths 3.0911, 5.6428, 5.8283 Å; angles 90.00, 90.00, 90.00 degrees
Fractional coordinates of all 8 atoms:
O: 0.5000 0.4110 0.1270
N: 0.0000 0.3317 0.6729
Zn: 0.5000 0.5310 0.8049
Ta: 0.0000 0.4804 0.3743
Zn: 0.5000 0.0310 0.1951
O: 0.5000 0.9110 0.8730
Ta: 0.0000 0.9804 0.6257
N: 0.0000 0.8317 0.3271

Results
**Total energy**: -7.4301 eV per atom
**Relative energy among the computed polymorphs**: 199 meV per atom
**Spin magnetization**: 0.002 μB/f.u.

No. 13
DFT (PBE) results for a relaxed structure of Er5Cu2Sb.

Cell lengths 8.4481, 8.4481, 8.4481 Å; angles 124.95, 124.95, 81.62 degrees
Fractional coordinates of all 16 atoms:
Er: 0.2035 0.7035 0.1904
Er: 0.7965 0.2965 0.8096
Cu: 0.1310 0.6310 0.7620
Er: 0.5000 0.5000 0.0000
Cu: 0.6310 0.8690 0.5000
Er: 0.0000 0.0000 0.0000
Cu: 0.8690 0.3690 0.2380
Er: 0.7035 0.5131 0.5000
Sb: 0.2500 0.2500 0.0000
Er: 0.4869 0.9869 0.1904
Er: 0.9869 0.7965 0.5000
Er: 0.2965 0.4869 0.5000
Cu: 0.3690 0.1310 0.5000
Sb: 0.7500 0.7500 0.0000
Er: 0.0131 0.2035 0.5000
Er: 0.5131 0.0131 0.8096

Results
**Total energy**: -4.7342 eV per atom
**Spin magnetization**: 0.006 μB/f.u.

No. 14
DFT (PBE) results for a relaxed structure of MoIr2.

Cell lengths 5.1116, 5.1116, 5.1116 Å; angles 60.00, 60.00, 60.00 degrees
Fractional coordinates of all 6 atoms:
Ir: 0.6250 0.6250 0.1250
Ir: 0.1250 0.6250 0.6250
Ir: 0.6250 0.6250 0.6250
Ir: 0.6250 0.1250 0.6250
Mo: 0.0000 0.0000 0.0000
Mo: 0.2500 0.2500 0.2500

Results
**Total energy**: -9.2944 eV per atom
**Calculated formation energy**: 0.22 eV/atom
**Spin magnetization**: 0.003 μB/f.u.

No. 15
DFT (PBE) results for a relaxed structure of TbAlTe3Pb.

Cell lengths 7.7275, 7.7275, 11.0657 Å; angles 90.00, 90.00, 146.66 degrees
Fractional coordinates of all 12 atoms:
Al: 0.9749 0.0251 0.2500
Al: 0.0251 0.9749 0.7500
Te: 0.1438 0.8562 0.9493
Te: 0.8562 0.1438 0.4493
Pb: 0.7098 0.2902 0.7500
Tb: 0.5000 0.5000 0.0000
Te: 0.4043 0.5957 0.7500
Te: 0.1438 0.8562 0.5507
Te: 0.5957 0.4043 0.2500
Tb: 0.5000 0.5000 0.5000
Te: 0.8562 0.1438 0.0507
Pb: 0.2902 0.7098 0.2500

Results
**Total energy**: -4.1549 eV per atom
**Spin magnetization**: 0.008 μB/f.u.

No. 16
DFT (PBE) results for a relaxed structure of Be2Si2Ni2IrOs.

Cell lengths 3.9813, 3.9813, 5.6347 Å; angles 90.00, 90.00, 90.00 degrees
Fractional coordinates of all 8 atoms:
Ni: 0.5000 0.5000 0.0000
Be: 0.5000 0.0000 0.7516
Be: 0.0000 0.5000 0.2484
Ir: 0.5000 0.5000 0.5000
Ni: 0.0000 0.0000 0.5000
Si: 0.0000 0.5000 0.7525
Os: 0.0000 0.0000 0.0000
Si: 0.5000 0.0000 0.2475

Results
**Total energy**: -6.6796 eV per atom
**Spin magnetization**: 0.006 μB/f.u.

No. 17
DFT (PBE) results for a relaxed structure of TaNbFe2Sb2.

Cell lengths 8.4176, 4.2088, 12.6263 Å; angles 90.00, 109.47, 90.00 degrees
Fractional coordinates of all 24 atoms:
Fe: 0.3749 0.0000 0.2497
Fe: 0.1247 0.0000 0.7499
Sb: 0.3124 0.0000 0.6250
Ta: 0.8125 0.5000 0.1250
Ta: 0.3126 0.5000 0.1251
Ta: 0.9374 0.0000 0.8750
Nb: 0.6875 0.0000 0.3750
Nb: 0.1875 0.0000 0.3751
Fe: 0.0000 0.5000 0.0000
Sb: 0.0625 0.0000 0.1250
Sb: 0.5625 0.0000 0.1250
Ta: 0.0625 0.5000 0.6250
Sb: 0.6876 0.5000 0.8750
Fe: 0.5001 0.5000 0.0002
Fe: 0.6254 0.0000 0.7501
Sb: 0.8126 0.0000 0.6250
Sb: 0.9375 0.5000 0.3750
Sb: 0.4375 0.5000 0.3750
Fe: 0.8749 0.0000 0.2498
Fe: 0.2498 0.5000 0.5001
Nb: 0.5625 0.5000 0.6250
Sb: 0.1874 0.5000 0.8750
Nb: 0.4375 0.0000 0.8750
Fe: 0.7504 0.5000 0.5002

Results
**Total energy**: -8.1272 eV per atom
**Spin magnetization**: 0.001 μB/f.u.

No. 18
DFT (PBE) results for a relaxed structure of Gd4B2PbS.

Cell lengths 3.7564, 3.7564, 15.3661 Å; angles 90.00, 90.00, 120.00 degrees
Fractional coordinates of all 8 atoms:
S: 0.3333 0.6667 0.5000
Gd: 0.3333 0.6667 0.1774
Gd: 0.3333 0.6667 0.8226
Gd: 0.0000 0.0000 0.3788
B: 0.6667 0.3333 0.2757
Gd: 0.0000 0.0000 0.6212
B: 0.6667 0.3333 0.7243
Pb: 0.0000 0.0000 0.0000

Results
**Total energy**: -5.5417 eV per atom
**Spin magnetization**: 0.016 μB/f.u.

No. 19
DFT (PBE) results for a relaxed structure of Y4Ta2Cu3C3.

Cell lengths 5.9517, 5.9517, 14.0419 Å; angles 101.29, 101.29, 60.12 degrees
Fractional coordinates of all 24 atoms:
Y: 0.9536 0.8134 0.8900
Y: 0.0464 0.1866 0.1100
Y: 0.1866 0.0464 0.6100
C: 0.2073 0.6469 0.5004
Cu: 0.4140 0.3470 0.2494
Cu: 0.5860 0.6530 0.7506
Ta: 0.3392 0.5235 0.0741
C: 0.6469 0.2073 0.0004
C: 0.5000 0.0000 0.5000
Y: 0.8134 0.9536 0.3900
Y: 0.8809 0.6984 0.6103
C: 0.3531 0.7927 0.9996
Cu: 0.8211 0.1789 0.7500
Y: 0.6984 0.8809 0.1103
Y: 0.3016 0.1191 0.8897
Y: 0.1191 0.3016 0.3897
C: 0.0000 0.5000 0.0000
Cu: 0.3470 0.4140 0.7494
Ta: 0.4765 0.6608 0.4259
Cu: 0.1789 0.8211 0.2500
Ta: 0.6608 0.4765 0.9259
Ta: 0.5235 0.3392 0.5741
C: 0.7927 0.3531 0.4996
Cu: 0.6530 0.5860 0.2506

Results
**Total energy**: -7.6565 eV per atom
**Spin magnetization**: 0.015 μB/f.u.

No. 20
DFT (PBE) results for a relaxed structure of Tm2Au.

Cell lengths 6.9928, 4.8677, 8.7834 Å; angles 90.00, 90.00, 90.00 degrees
Fractional coordinates of all 12 atoms:
Tm: 0.3514 0.2500 0.9215
Au: 0.7409 0.7500 0.3998
Tm: 0.9841 0.2500 0.1780
Tm: 0.0159 0.7500 0.8220
Au: 0.2409 0.7500 0.1002
Tm: 0.8514 0.2500 0.5785
Tm: 0.4841 0.2500 0.3220
Tm: 0.1486 0.7500 0.4215
Au: 0.2591 0.2500 0.6002
Au: 0.7591 0.2500 0.8998
Tm: 0.6486 0.7500 0.0785
Tm: 0.5159 0.7500 0.6780

Results
**Total energy**: -4.7362 eV per atom
**Calculated formation energy**: -0.66 eV/atom
**Spin magnetization**: 0.000 μB/f.u.

No. 21
DFT (PBE) results for a relaxed structure of CsTbHg3S4.

Cell lengths 6.8602, 6.8602, 6.8602 Å; angles 90.00, 90.00, 90.00 degrees
Fractional coordinates of all 9 atoms:
Cs: 0.0000 0.0000 0.0000
Hg: 0.0000 0.5000 0.5000
S: 0.2829 0.7171 0.7171
Hg: 0.5000 0.5000 0.0000
S: 0.7171 0.7171 0.2829
Tb: 0.5000 0.5000 0.5000
S: 0.2829 0.2829 0.2829
Hg: 0.5000 0.0000 0.5000
S: 0.7171 0.2829 0.7171

Results
**Total energy**: -3.2119 eV per atom
**Relative energy among the computed polymorphs**: 52 meV per atom
**Spin magnetization**: 0.000 μB/f.u.

No. 22
DFT (PBE) results for a relaxed structure of Zn2Ge.

Cell lengths 15.0263, 2.8167, 4.7252 Å; angles 90.00, 90.00, 90.00 degrees
Fractional coordinates of all 12 atoms:
Ge: 0.1645 0.5000 0.0000
Zn: 0.9506 0.5000 0.5000
Zn: 0.4938 0.5000 0.0000
Ge: 0.2800 0.5000 0.5000
Ge: 0.6645 0.0000 0.0000
Zn: 0.8407 0.5000 0.0000
Zn: 0.4506 0.0000 0.5000
Zn: 0.3407 0.0000 0.0000
Zn: 0.9938 0.0000 0.0000
Zn: 0.1038 0.0000 0.5000
Ge: 0.7799 0.0000 0.5000
Zn: 0.6038 0.5000 0.5000

Results
**Total energy**: -2.2151 eV per atom

No. 23
DFT (PBE) results for a relaxed structure of CoH3.

Cell lengths 4.1616, 4.1616, 2.5443 Å; angles 90.00, 90.00, 120.00 degrees
Fractional coordinates of all 8 atoms:
H: 0.8177 0.6354 0.7500
Co: 0.3333 0.6667 0.7500
H: 0.1823 0.3646 0.2500
Co: 0.6667 0.3333 0.2500
H: 0.1823 0.8177 0.2500
H: 0.8177 0.1823 0.7500
H: 0.3646 0.1823 0.7500
H: 0.6354 0.8177 0.2500

Results
**Total energy**: -4.0851 eV per atom
**Relative energy among the computed polymorphs**: 0 meV per atom
**Spin magnetization**: 0.000 μB/f.u.